# Cu2As (PBE, relaxed)
# Energy, eV per atom: -4.20
data_Cu2As
_chemical_formula_sum 'Cu8 As4'
_space_group_name_H-M_alt 'P 1'
_space_group_IT_number 1
_space_group_name_Hall 'P 1'
_cell_length_a 12.228
_cell_length_b 12.228
_cell_length_c 12.228
_cell_angle_alpha 162.33
_cell_angle_beta 162.33
_cell_angle_gamma 25.09
loop_
_atom_site_label
_atom_site_type_symbol
_atom_site_fract_x
_atom_site_fract_y
_atom_site_fract_z
Cu1 Cu 0.583 0.583 0.000
Cu2 Cu 0.002 0.502 0.500
As1 As 0.324 0.824 0.500
Cu3 Cu 0.417 0.417 0.000
Cu4 Cu 0.752 0.752 0.000
As2 As 0.074 0.074 0.000
Cu5 Cu 0.833 0.333 0.500
Cu6 Cu 0.248 0.248 0.000
As3 As 0.176 0.676 0.500
As4 As 0.926 0.926 0.000
Cu7 Cu 0.667 0.167 0.500
Cu8 Cu 0.498 0.998 0.500

# BaAl2Br (PBE, relaxed)
# Formation energy from raw total energies, eV per atom: 0.149
# Energy, eV per atom: -2.62
data_BaAl2Br
_chemical_formula_sum 'Ba1 Al2 Br1'
_space_group_name_H-M_alt 'P 1'
_space_group_IT_number 1
_space_group_name_Hall 'P 1'
_cell_length_a 10.193
_cell_length_b 10.193
_cell_length_c 10.193
_cell_angle_alpha 20.72
_cell_angle_beta 20.72
_cell_angle_gamma 20.72
loop_
_atom_site_label
_atom_site_type_symbol
_atom_site_fract_x
_atom_site_fract_y
_atom_site_fract_z
Ba1 Ba 0.250 0.250 0.250
Br1 Br 0.750 0.750 0.750
Al1 Al 0.011 0.011 0.011
Al2 Al 0.489 0.489 0.489

# Sc2BeCdS (PBE, relaxed)
# Formation energy from raw total energies, eV per atom: 0.383
# Energy, eV per atom: -3.90
data_Sc2BeCdS
_chemical_formula_sum 'Sc2 Be1 Cd1 S1'
_space_group_name_H-M_alt 'P 1'
_space_group_IT_number 1
_space_group_name_Hall 'P 1'
_cell_length_a 5.287
_cell_length_b 5.287
_cell_length_c 4.235
_cell_angle_alpha 90.00
_cell_angle_beta 90.00
_cell_angle_gamma 90.00
loop_
_atom_site_label
_atom_site_type_symbol
_atom_site_fract_x
_atom_site_fract_y
_atom_site_fract_z
Sc1 Sc 0.000 0.500 0.000
Sc2 Sc 0.500 0.000 0.000
Cd1 Cd 0.000 0.000 0.000
Be1 Be 0.000 0.000 0.500
S1 S 0.500 0.500 0.500